[1]
TlCoAs2Br | GGA-PBE | optimized geometry Values from VASP.

```
&SYSTEM
  ibrav = 0, nat = 5, ntyp = 4
/
ATOMIC_SPECIES
Tl 204.38 Tl.upf
Co 58.93 Co.upf
As 74.92 As.upf
Br 79.90 Br.upf
CELL_PARAMETERS angstrom
4.4123 0.0000 0.0000
0.0000 4.4123 0.0000
0.0000 0.0000 8.6083
ATOMIC_POSITIONS crystal
Tl 0.0000 0.0000 0.0000
Co 0.5000 0.5000 0.5000
As 0.0000 0.5000 0.5000
As 0.5000 0.0000 0.5000
Br 0.5000 0.5000 0.0000
```

Calculated values
* space-group type: P4/mmm (123)
* formation energy (no corrections): 0.42 eV/f.u.
* calculated total energy: -4.005 eV/atom

[2]
Ho3Ga12Au | GGA-PBE | optimized geometry Values from VASP.

```
&SYSTEM
  ibrav = 0, nat = 16, ntyp = 3
/
ATOMIC_SPECIES
Ho 164.93 Ho.upf
Ga 69.72 Ga.upf
Au 196.97 Au.upf
CELL_PARAMETERS angstrom
4.2680 0.0000 0.0000
0.0000 4.2680 0.0000
0.0000 0.0000 16.7798
ATOMIC_POSITIONS crystal
Ho 0.0000 0.0000 0.0000
Ho 0.0000 0.0000 0.2552
Ho 0.0000 0.0000 0.7448
Ga 0.0000 0.5000 0.1276
Ga 0.0000 0.5000 0.3859
Ga 0.0000 0.5000 0.6141
Ga 0.0000 0.5000 0.8724
Ga 0.5000 0.0000 0.1276
Ga 0.5000 0.0000 0.3859
Ga 0.5000 0.0000 0.6141
Ga 0.5000 0.0000 0.8724
Ga 0.5000 0.5000 0.0000
Ga 0.5000 0.5000 0.2467
Ga 0.5000 0.5000 0.5000
Ga 0.5000 0.5000 0.7533
Au 0.0000 0.0000 0.5000
```

Calculated values
* space-group type: P4/mmm (123)
* calculated total energy: -3.723 eV/atom

> Look up the calculated total energy of the second one.

-3.723 eV/atom

> Look up the calculated total energy of the first one.

-4.005 eV/atom

> calculated total energy of number 1 (TlCoAs2Br)?

-4.005 eV/atom

> Which value of calculated total energy does entry 2 give?

-3.723 eV/atom